Model P:
Density functional theory data (PBE+U) for crystalline V2CuF at its relaxed geometry.

Properties
The value obtained for the density of states at the Fermi level is 11.546 states/eV/cell. The total magnetic moment comes out at 6.40 μB/f.u.

Unit cell a=6.2039 b=6.2039 c=6.2039 alpha=90.00 beta=90.00 gamma=90.00
Space group Fm-3m (No. 225)
Unique sites:
1 V 0.2500 0.2500 0.2500 x8
2 Cu 0.0000 0.0000 0.0000 x4
3 F 0.0000 0.0000 0.5000 x4

Model Q:
Density functional theory data (PBE+U) for crystalline V2CuF at its relaxed geometry.

Properties
The value obtained for the density of states at the Fermi level is 2.737 states/eV/cell. The total magnetic moment comes out at 5.95 μB/f.u.

Unit cell a=6.2339 b=6.2339 c=6.6284 alpha=90.00 beta=90.00 gamma=90.00
Space group I-42d (No. 122)
Unique sites:
1 V 0.1973 0.2500 0.1250 x8
2 Cu 0.0000 0.0000 0.5000 x4
3 F 0.0000 0.0000 0.0000 x4

Most favorable structure: model Q. The second most favorable one is 38.2 kJ/mol of atoms above it.

Model P:
Density functional theory data (PBE+U) for crystalline VCuF2 at its relaxed geometry.

Properties
The value obtained for the density of states at the Fermi level is 6.896 states/eV/cell. The total magnetic moment comes out at 1.73 μB/f.u.

Unit cell a=2.7695 b=2.7695 c=26.8334 alpha=90.00 beta=90.00 gamma=120.00
Space group R-3m (No. 166, hexagonal axes)
Unique sites:
1 V 0.0000 0.0000 0.0000 x3
2 Cu 0.0000 0.0000 0.5000 x3
3 F 0.0000 0.0000 0.3836 x6

Model Q:
Density functional theory data (PBE+U) for crystalline VCuF2 at its relaxed geometry.

Properties
The value obtained for the density of states at the Fermi level is 11.947 states/eV/cell. The total magnetic moment comes out at 3.44 μB/f.u.

Unit cell a=5.7879 b=5.7879 c=5.7879 alpha=90.00 beta=90.00 gamma=90.00
Space group Fm-3m (No. 225)
Unique sites:
1 V 0.0000 0.0000 0.0000 x4
2 Cu 0.0000 0.0000 0.5000 x4
3 F 0.2500 0.2500 0.2500 x8

Most favorable structure: model P. The second most favorable one is 43.6 kJ/mol of atoms above it.